Here is crystalline Li6AsS5I at its relaxed geometry from Alexandria. Energies are from PBE.

Cell: 7.268 7.268 12.740 Å, 106.42 106.42 59.45°
Atoms (fractional coordinates):
Li (0.000, 0.000, 0.000)
Li (0.000, 0.000, 0.500)
Li (0.197, 0.218, 0.192)
Li (0.218, 0.197, 0.692)
Li (0.350, 0.686, 0.200)
Li (0.435, 0.937, 0.921)
Li (0.496, 0.532, 0.500)
Li (0.532, 0.496, 0.000)
Li (0.686, 0.350, 0.700)
Li (0.706, 0.871, 0.187)
Li (0.871, 0.706, 0.687)
Li (0.937, 0.435, 0.421)
As (0.005, 0.495, 0.953)
As (0.495, 0.005, 0.453)
S (0.060, 0.569, 0.135)
S (0.303, 0.829, 0.394)
S (0.308, 0.315, 0.392)
S (0.315, 0.308, 0.892)
S (0.374, 0.872, 0.080)
S (0.569, 0.060, 0.635)
S (0.798, 0.810, 0.385)
S (0.810, 0.798, 0.885)
S (0.829, 0.303, 0.894)
S (0.872, 0.374, 0.580)
I (0.257, 0.756, 0.694)
I (0.756, 0.257, 0.194)

Calculated values
Raw total energy in eV per atom: -3.943